# 1
Compound: CrNiPt4
Source: the Alexandria database
Functional: GGA-PBE
Structure: relaxed

The structure in POSCAR format:
```
CrNiPt4
1.0
2.7606 0.0000 0.0000
1.3803 4.2701 0.0284
1.3803 0.5547 7.6977
Pt Cr Ni
4 1 1
direct
0.1519 0.0426 0.6537
0.6549 0.5357 0.1546
0.8481 0.9574 0.3463
0.3451 0.4643 0.8454
0.5000 0.5000 0.5000
0.0000 0.0000 0.0000
```

Properties
Total magnetic moment = 3.01 μB per cell
Total DFT energy (no corrections) = -39.73 eV per formula unit
ρ = 16314 kg/m3
Space-group type = C2/m

***

# 2
Compound: CrNiPtRh
Source: the Alexandria database
Functional: GGA-PBE
Structure: relaxed

The structure in POSCAR format:
```
CrNiPtRh
1.0
3.6662 0.0000 0.0000
0.0000 3.8022 0.0000
0.0000 0.0000 3.8672
Pt Ni Rh Cr
1 1 1 1
direct
0.5000 0.5000 0.0000
0.0000 0.0000 0.0000
0.5000 0.0000 0.5000
0.0000 0.5000 0.5000
```

Properties
Total magnetic moment = 1.38 μB per cell
Total DFT energy (no corrections) = -29.46 eV per formula unit
ρ = 12589 kg/m3
Space-group type = Pmmm

***

# 3
Compound: CrNiPtRh2
Source: the Alexandria database
Functional: GGA-PBE
Structure: relaxed

The structure in POSCAR format:
```
CrNiPtRh2
1.0
-3.3828 1.1601 3.2086
-3.3111 -0.0258 -3.4815
-0.7606 -4.3068 0.7553
Pt Cr Ni Rh
1 1 1 2
direct
0.0000 0.0000 0.0000
0.0000 0.0000 0.5000
0.5000 0.5000 0.5000
0.5000 0.0000 0.0000
0.0000 0.5000 0.0000
```

Properties
Total magnetic moment = 0.07 μB per cell
Total DFT energy (no corrections) = -27.27 eV per formula unit
ρ = 8292 kg/m3
Space-group type = P4/mmm